Record 1
YSc2Al PBEsol optimized geometry; final energy = -6.262 eV/atom
1.0
3.4905 0.0000 0.0000
0.0000 5.0556 0.0000
-1.7453 -2.5278 5.2755
Y Sc Al
1 2 1
Direct
0.0000 0.5000 0.0000
0.7801 0.7801 0.5603
0.2199 0.2199 0.4397
0.5000 0.0000 0.0000

---

Record 2
YSc2Al PBEsol optimized geometry; final energy = -6.227 eV/atom
1.0
3.3023 0.0000 0.0000
0.0000 3.3023 0.0000
0.0000 0.0000 8.5130
Y Sc Al
1 2 1
Direct
0.0000 0.0000 0.5247
0.0000 0.0000 0.9754
0.5000 0.5000 0.2347
0.5000 0.5000 0.7652

---

Record 3
YSc2Al PBEsol optimized geometry; final energy = -6.254 eV/atom
1.0
-2.3176 -1.6692 -3.4447
1.4258 -4.1136 1.0340
-3.5812 -0.5666 2.6841
Y Sc Al
1 2 1
Direct
0.5000 0.5000 0.5000
0.0000 0.5000 0.0000
0.5000 0.0000 0.0000
0.0000 0.0000 0.5000

---

Record 4
YSc2Al PBEsol optimized geometry; final energy = -6.217 eV/atom
1.0
-3.1558 3.0720 0.4877
-2.3859 -2.8366 2.4281
4.8392 1.4024 2.3504
Y Sc Al
1 2 1
Direct
0.5000 0.5000 0.0000
0.0000 0.0000 0.0000
0.7500 0.2500 0.5000
0.2500 0.7500 0.5000

---

Record 5
ScAlZn PBEsol optimized geometry; final energy = -4.550 eV/atom
1.0
-2.4245 1.9775 0.5167
-0.6214 -1.7842 3.9126
2.6755 3.3951 -0.4393
Sc Zn Al
1 1 1
Direct
0.5000 0.6667 0.3333
0.0000 0.3333 0.6667
0.0000 0.0000 0.0000

---

Record 6
Sc2Al2Zn PBEsol optimized geometry; final energy = -4.985 eV/atom
1.0
4.3673 0.0000 0.0000
0.0000 6.5327 0.0000
0.0000 0.0000 6.5327
Sc Zn Al
4 2 4
Direct
0.5000 0.1667 0.6667
0.5000 0.6667 0.8333
0.5000 0.8333 0.3333
0.5000 0.3333 0.1667
0.0000 0.0000 0.0000
0.0000 0.5000 0.5000
0.0000 0.3613 0.8613
0.0000 0.8613 0.6387
0.0000 0.6387 0.1387
0.0000 0.1387 0.3613

---

Record 7
Sc2AlZn PBEsol optimized geometry; distance to the lowest polymorph of the same formula = 0.101 eV/atom; final energy = -5.057 eV/atom
1.0
3.2755 0.0000 0.0000
0.0000 4.6712 0.0000
-1.6377 -2.3356 4.8804
Sc Zn Al
2 1 1
Direct
0.9942 0.9942 0.9884
0.7664 0.2664 0.5328
0.5183 0.5183 0.0365
0.2211 0.7211 0.4423

---

Record 8
Sc2AlZn PBEsol optimized geometry; distance to the lowest polymorph of the same formula = 0.000 eV/atom; final energy = -5.159 eV/atom
1.0
3.2897 0.0000 0.0000
0.0000 3.2897 0.0000
0.0000 0.0000 6.7835
Sc Zn Al
2 1 1
Direct
0.0000 0.0000 0.7583
0.0000 0.0000 0.2417
0.5000 0.5000 0.0000
0.5000 0.5000 0.5000

---

In the order shown, the computed calculated formation energy values come out to -0.231 -0.196 -0.223 -0.186 -0.457 -0.390 -0.336 -0.438 eV/atom.